Density functional theory data (PBE+U) for a geometry-optimized CaFeO3 structure.

Unit cell a=5.448 b=7.639 c=5.380 alpha=90.00 beta=90.00 gamma=90.00
Positions (direct):
Ca: 0.044 0.250 0.009
Ca: 0.456 0.750 0.509
Ca: 0.544 0.250 0.491
Ca: 0.956 0.750 0.991
Fe: 0.000 0.000 0.500
Fe: 0.000 0.500 0.500
Fe: 0.500 0.000 0.000
Fe: 0.500 0.500 0.000
O: 0.017 0.750 0.425
O: 0.211 0.539 0.789
O: 0.211 0.961 0.789
O: 0.289 0.039 0.289
O: 0.289 0.461 0.289
O: 0.483 0.250 0.925
O: 0.517 0.750 0.075
O: 0.711 0.539 0.711
O: 0.711 0.961 0.711
O: 0.789 0.039 0.211
O: 0.789 0.461 0.211
O: 0.983 0.250 0.575

final energy: -128.5 eV/cell
symmetry: Pnma, No. 62